(one)
Hf3MoPb after structural relaxation, computed with PBE-GGA.

Cell: 5.056 5.056 5.056 Å, 90.00 90.00 90.00°
Space group Pm-3m (No. 221)
Inequivalent atoms, fractional coordinates:
1 Hf 0.000 0.000 0.500 [3 per cell]
2 Mo 0.000 0.000 0.000 [1 per cell]
3 Pb 0.500 0.500 0.500 [1 per cell]

Values from the calculation:
V, Å³ per cell: 129
Spin magnetization, μB/f.u.: 0.0

(two)
Hf3MoPb after structural relaxation, computed with PBE-GGA.

Cell: 5.201 5.201 5.201 Å, 90.00 90.00 90.00°
Space group Pm-3m (No. 221)
Inequivalent atoms, fractional coordinates:
1 Hf 0.000 0.000 0.500 [3 per cell]
2 Mo 0.500 0.500 0.500 [1 per cell]
3 Pb 0.000 0.000 0.000 [1 per cell]

Values from the calculation:
V, Å³ per cell: 141
Spin magnetization, μB/f.u.: 0.0

Most stable = (one)

(one)
HfMoPd2 after structural relaxation, computed with PBE-GGA.

Cell: 6.505 6.505 6.505 Å, 90.00 90.00 90.00°
Space group Fm-3m (No. 225)
Inequivalent atoms, fractional coordinates:
1 Hf 0.000 0.000 0.000 [4 per cell]
2 Mo 0.000 0.000 0.500 [4 per cell]
3 Pd 0.250 0.250 0.250 [8 per cell]

Values from the calculation:
V, Å³ per cell: 275
Spin magnetization, μB/f.u.: 2.0

(two)
HfMoPd2 after structural relaxation, computed with PBE-GGA.

Cell: 3.943 3.943 18.585 Å, 90.00 90.00 90.00°
Space group I-42d (No. 122)
Inequivalent atoms, fractional coordinates:
1 Hf 0.000 0.000 0.000 [4 per cell]
2 Mo 0.000 0.000 0.500 [4 per cell]
3 Pd 0.245 0.250 0.625 [8 per cell]

Values from the calculation:
V, Å³ per cell: 289
Spin magnetization, μB/f.u.: 0.0

Most stable = (one)